BeIn2PdPb after structural relaxation, computed with PBE.

Computed properties:
As for the density of states at the Fermi level: 0.513 states/eV per atom. The calculation puts the formation energy at 1.052 eV/atom. The total energy is -12.84 eV per cell.

Unit cell a=5.872 b=5.168 c=5.872 alpha=90.00 beta=90.00 gamma=90.00
Sites, in units of the cell vectors:
Be: 0.500 0.500 0.500
In: 0.500 0.000 0.000
In: 0.000 0.000 0.500
Pd: 0.000 0.500 0.000
Pb: 0.000 0.000 0.000

***

BeInPtPb2 after structural relaxation, computed with PBE.

Computed properties:
As for the density of states at the Fermi level: 0.494 states/eV per atom. The calculation puts the formation energy at 0.175 eV/atom. The total energy is -19.04 eV per cell.

Unit cell a=5.551 b=4.328 c=5.551 alpha=90.00 beta=90.00 gamma=90.00
Sites, in units of the cell vectors:
Pb: 0.500 0.000 0.000
Pb: 0.000 0.000 0.500
Be: 0.000 0.500 0.000
In: 0.500 0.500 0.500
Pt: 0.000 0.000 0.000

***

BeInPtPb2 after structural relaxation, computed with PBE.

Computed properties:
As for the density of states at the Fermi level: 0.557 states/eV per atom. The calculation puts the formation energy at 1.095 eV/atom. The total energy is -14.45 eV per cell.

Unit cell a=5.593 b=5.060 c=5.593 alpha=90.00 beta=90.00 gamma=90.00
Sites, in units of the cell vectors:
In: 0.000 0.000 0.000
Pb: 0.500 0.000 0.000
Pb: 0.000 0.000 0.500
Be: 0.500 0.500 0.500
Pt: 0.000 0.500 0.000

***

Be2InPd3 after structural relaxation, computed with PBE.

Computed properties:
As for the density of states at the Fermi level: 0.391 states/eV per atom. The calculation puts the formation energy at -0.505 eV/atom. The total energy is -28.80 eV per cell.

Unit cell a=2.891 b=2.891 c=9.726 alpha=90.00 beta=90.00 gamma=90.00
Sites, in units of the cell vectors:
Pd: 0.000 0.000 0.000
Pd: 0.000 0.000 0.714
Pd: 0.000 0.000 0.286
In: 0.500 0.500 0.500
Be: 0.500 0.500 0.854
Be: 0.500 0.500 0.146